P.
Compound: LiCaZn2
Source: Alexandria
Functional: SCAN
Structure: PBEsol geometry

a b c (Å): 4.607 4.772 4.705
angles (deg): 120.47 119.31 90.00
Atoms (fractional coordinates):
Li (0.741, 0.241, 0.481)
Zn (0.997, 0.997, 0.994)
Ca (0.501, 0.501, 0.001)
Zn (0.262, 0.762, 0.523)

Output
**Density of states at the Fermi level**: 2.4 states/eV per cell

Q.
Compound: LiCaZn2
Source: Alexandria
Functional: SCAN
Structure: PBEsol geometry

a b c (Å): 4.370 4.370 5.505
angles (deg): 66.61 66.61 60.00
Atoms (fractional coordinates):
Zn (0.980, 0.980, 0.059)
Li (0.707, 0.707, 0.878)
Ca (0.507, 0.507, 0.480)
Zn (0.299, 0.299, 0.104)

Output
**Density of states at the Fermi level**: 1.7 states/eV per cell

R.
Compound: LiCaZn2
Source: Alexandria
Functional: SCAN
Structure: PBEsol geometry

a b c (Å): 4.391 4.391 5.601
angles (deg): 66.92 66.92 60.00
Atoms (fractional coordinates):
Li (0.500, 0.500, 0.500)
Ca (0.000, 0.000, 0.000)
Zn (0.196, 0.196, 0.411)
Zn (0.804, 0.804, 0.589)

Output
**Density of states at the Fermi level**: 2.1 states/eV per cell

S.
Compound: LiCaZn2
Source: Alexandria
Functional: SCAN
Structure: PBEsol geometry

a b c (Å): 3.557 4.254 5.892
angles (deg): 90.00 107.69 90.00
Atoms (fractional coordinates):
Ca (0.538, 0.000, 0.449)
Li (0.233, 0.500, 0.840)
Zn (0.807, 0.000, 0.992)
Zn (0.923, 0.500, 0.219)

Output
**Density of states at the Fermi level**: 2.0 states/eV per cell

Most stable = Q

P.
Compound: LiCaZn2
Source: Alexandria
Functional: SCAN
Structure: PBEsol geometry

a b c (Å): 3.399 3.399 6.670
angles (deg): 90.00 90.00 90.00
Atoms (fractional coordinates):
Li (0.500, 0.500, 0.000)
Zn (0.000, 0.000, 0.196)
Zn (0.000, 0.000, 0.804)
Ca (0.500, 0.500, 0.500)

Output
**Density of states at the Fermi level**: 1.8 states/eV per cell

Q.
Compound: LiCaZn2
Source: Alexandria
Functional: SCAN
Structure: PBEsol geometry

a b c (Å): 4.442 4.442 5.069
angles (deg): 115.99 115.99 90.00
Atoms (fractional coordinates):
Li (0.000, 0.000, 0.000)
Zn (0.250, 0.750, 0.500)
Ca (0.500, 0.500, 0.000)
Zn (0.750, 0.250, 0.500)

Output
**Density of states at the Fermi level**: 1.8 states/eV per cell

Most stable = P

P.
Compound: Li3CaZn
Source: Alexandria
Functional: SCAN
Structure: PBEsol geometry

a b c (Å): 4.886 4.886 4.886
angles (deg): 90.00 90.00 90.00
Atoms (fractional coordinates):
Ca (0.500, 0.500, 0.500)
Li (0.000, 0.500, 0.000)
Li (0.000, 0.000, 0.500)
Zn (0.000, 0.000, 0.000)
Li (0.500, 0.000, 0.000)

Output
**Density of states at the Fermi level**: 3.3 states/eV per cell

Q.
Compound: Li3CaZn
Source: Alexandria
Functional: SCAN
Structure: PBEsol geometry

a b c (Å): 5.501 5.501 5.501
angles (deg): 90.00 90.00 90.00
Atoms (fractional coordinates):
Li (0.000, 0.500, 0.000)
Zn (0.500, 0.500, 0.500)
Li (0.000, 0.000, 0.500)
Ca (0.000, 0.000, 0.000)
Li (0.500, 0.000, 0.000)

Output
**Density of states at the Fermi level**: 2.9 states/eV per cell

Most stable = P

P.
Compound: LiCa2Zr
Source: Alexandria
Functional: SCAN
Structure: PBEsol geometry

a b c (Å): 3.472 5.769 5.769
angles (deg): 90.00 90.00 90.00
Atoms (fractional coordinates):
Ca (0.000, 0.500, 0.000)
Zr (0.500, 0.000, 0.000)
Li (0.500, 0.500, 0.500)
Ca (0.000, 0.000, 0.500)

Output
**Density of states at the Fermi level**: 4.1 states/eV per cell

Q.
Compound: LiCa2Zr
Source: Alexandria
Functional: SCAN
Structure: PBEsol geometry

a b c (Å): 3.663 5.403 5.662
angles (deg): 90.00 90.00 90.00
Atoms (fractional coordinates):
Ca (0.000, 0.000, 0.000)
Li (0.500, 0.500, 0.000)
Ca (0.500, 0.000, 0.500)
Zr (0.000, 0.500, 0.500)

Output
**Density of states at the Fermi level**: 4.0 states/eV per cell

Most stable = P

P.
Compound: Ca4Mg
Source: Alexandria
Functional: SCAN
Structure: PBEsol geometry

a b c (Å): 4.538 4.538 10.100
angles (deg): 102.98 102.98 90.00
Atoms (fractional coordinates):
Mg (0.000, 0.000, 0.000)
Ca (0.750, 0.250, 0.500)
Ca (0.591, 0.591, 0.182)
Ca (0.250, 0.750, 0.500)
Ca (0.409, 0.409, 0.818)

Output
**Density of states at the Fermi level**: 5.3 states/eV per cell

Q.
Compound: Ca4Mg
Source: Alexandria
Functional: SCAN
Structure: PBEsol geometry

a b c (Å): 5.166 6.464 6.464
angles (deg): 80.81 66.45 66.45
Atoms (fractional coordinates):
Ca (0.603, 0.191, 0.602)
Ca (0.795, 0.602, 0.809)
Mg (0.000, 0.000, 0.000)
Ca (0.205, 0.398, 0.191)
Ca (0.397, 0.809, 0.398)

Output
**Density of states at the Fermi level**: 4.7 states/eV per cell

Most stable = Q

P.
Compound: Ca5Mg
Source: Alexandria
Functional: SCAN
Structure: PBEsol geometry

a b c (Å): 5.258 5.343 8.316
angles (deg): 90.00 108.43 90.00
Atoms (fractional coordinates):
Mg (0.500, 0.000, 0.000)
Ca (0.000, 0.500, 0.000)
Ca (0.159, 0.000, 0.318)
Ca (0.662, 0.500, 0.325)
Ca (0.338, 0.500, 0.675)
Ca (0.841, 0.000, 0.682)

Output
**Density of states at the Fermi level**: 5.6 states/eV per cell

Q.
Compound: Ca5Mg
Source: Alexandria
Functional: SCAN
Structure: PBEsol geometry

a b c (Å): 3.795 3.795 18.204
angles (deg): 90.00 90.00 120.00
Atoms (fractional coordinates):
Ca (0.000, 0.000, 0.324)
Ca (0.333, 0.667, 0.148)
Mg (0.000, 0.000, 0.000)
Ca (0.333, 0.667, 0.852)
Ca (0.333, 0.667, 0.500)
Ca (0.000, 0.000, 0.676)

Output
**Density of states at the Fermi level**: 6.2 states/eV per cell

Most stable = P

P.
Compound: Ca5Mg
Source: Alexandria
Functional: SCAN
Structure: PBEsol geometry

a b c (Å): 6.090 6.483 6.483
angles (deg): 120.00 90.00 90.00
Atoms (fractional coordinates):
Ca (0.500, 0.333, 0.667)
Ca (0.000, 0.322, 0.322)
Ca (0.000, 0.000, 0.678)
Ca (0.500, 0.667, 0.333)
Mg (0.500, 0.000, 0.000)
Ca (0.000, 0.678, 0.000)

Output
**Density of states at the Fermi level**: 4.2 states/eV per cell

Q.
Compound: Ca5Mg
Source: Alexandria
Functional: SCAN
Structure: PBEsol geometry

a b c (Å): 4.122 7.011 8.519
angles (deg): 107.42 90.00 107.09
Atoms (fractional coordinates):
Mg (0.305, 0.610, 0.110)
Ca (0.658, 0.316, 0.261)
Ca (0.954, 0.908, 0.962)
Ca (0.306, 0.612, 0.612)
Ca (0.640, 0.280, 0.802)
Ca (0.971, 0.941, 0.420)

Output
**Density of states at the Fermi level**: 5.7 states/eV per cell

Most stable = Q

P.
Compound: Ca4Mg5
Source: Alexandria
Functional: SCAN
Structure: PBEsol geometry

a b c (Å): 5.129 7.682 7.682
angles (deg): 83.60 70.50 70.50
Atoms (fractional coordinates):
Ca (0.000, 0.686, 0.314)
Mg (0.657, 0.000, 0.686)
Mg (0.343, 0.314, 0.000)
Mg (0.343, 0.000, 0.314)
Ca (0.000, 0.314, 0.686)
Ca (0.686, 0.314, 0.314)
Mg (0.657, 0.686, 0.000)
Mg (0.000, 0.000, 0.000)
Ca (0.314, 0.686, 0.686)

Output
**Density of states at the Fermi level**: 7.0 states/eV per cell

Q.
Compound: Ca4Mg5
Source: Alexandria
Functional: SCAN
Structure: PBEsol geometry

a b c (Å): 6.664 9.645 9.645
angles (deg): 120.00 90.00 90.00
Atoms (fractional coordinates):
Mg (0.250, 0.677, 0.677)
Ca (0.750, 0.000, 0.350)
Mg (0.250, 0.000, 0.323)
Ca (0.750, 0.350, 0.000)
Mg (0.750, 0.323, 0.323)
Mg (0.500, 0.333, 0.667)
Ca (0.500, 0.000, 0.000)
Mg (0.250, 0.323, 0.000)
Ca (0.000, 0.000, 0.000)
Ca (0.250, 0.000, 0.650)
Mg (0.000, 0.667, 0.333)
Ca (0.250, 0.350, 0.350)
Ca (0.250, 0.650, 0.000)
Mg (0.000, 0.333, 0.667)
Mg (0.750, 0.677, 0.000)
Mg (0.500, 0.667, 0.333)
Ca (0.750, 0.650, 0.650)
Mg (0.750, 0.000, 0.677)

Output
**Density of states at the Fermi level**: 14.1 states/eV per cell

Most stable = P

P.
Compound: Ca4Mg3
Source: Alexandria
Functional: SCAN
Structure: PBEsol geometry

a b c (Å): 6.290 6.290 6.604
angles (deg): 90.00 90.00 120.00
Atoms (fractional coordinates):
Ca (0.000, 0.000, 0.754)
Ca (0.000, 0.000, 0.246)
Mg (0.500, 0.500, 0.000)
Mg (0.000, 0.500, 0.000)
Mg (0.500, 0.000, 0.000)
Ca (0.333, 0.667, 0.500)
Ca (0.667, 0.333, 0.500)

Output
**Density of states at the Fermi level**: 6.1 states/eV per cell

Q.
Compound: Ca4Mg3
Source: Alexandria
Functional: SCAN
Structure: PBEsol geometry

a b c (Å): 3.820 3.820 15.628
angles (deg): 97.02 97.02 90.00
Atoms (fractional coordinates):
Ca (0.566, 0.566, 0.132)
Ca (0.434, 0.434, 0.868)
Mg (0.724, 0.724, 0.448)
Ca (0.156, 0.156, 0.313)
Mg (0.000, 0.000, 0.000)
Ca (0.844, 0.844, 0.687)
Mg (0.276, 0.276, 0.552)

Output
**Density of states at the Fermi level**: 4.9 states/eV per cell

Most stable = Q

P.
Compound: CaMgP2
Source: Alexandria
Functional: SCAN
Structure: PBEsol geometry

a b c (Å): 3.752 4.405 4.478
angles (deg): 90.00 90.00 90.00
Atoms (fractional coordinates):
Mg (0.500, 0.000, 0.500)
P (0.000, 0.500, 0.500)
Ca (0.500, 0.500, 0.000)
P (0.000, 0.000, 0.000)

Output
**Density of states at the Fermi level**: 1.2 states/eV per cell

Q.
Compound: CaMgP2
Source: Alexandria
Functional: SCAN
Structure: PBEsol geometry

a b c (Å): 3.878 4.350 5.582
angles (deg): 107.04 90.00 116.48
Atoms (fractional coordinates):
P (0.757, 0.513, 0.794)
Ca (0.000, 0.000, 0.500)
P (0.243, 0.487, 0.206)
Mg (0.500, 0.000, 0.000)

Output
**Density of states at the Fermi level**: 1.8 states/eV per cell

Most stable = Q

P.
Compound: CaMg2Pt2
Source: Alexandria
Functional: SCAN
Structure: PBEsol geometry

a b c (Å): 4.133 4.133 6.603
angles (deg): 108.24 108.24 90.00
Atoms (fractional coordinates):
Mg (0.750, 0.250, 0.500)
Pt (0.609, 0.609, 0.217)
Ca (0.000, 0.000, 0.000)
Mg (0.250, 0.750, 0.500)
Pt (0.391, 0.391, 0.783)

Output
**Density of states at the Fermi level**: 1.7 states/eV per cell

Q.
Compound: CaMg2Pt2
Source: Alexandria
Functional: SCAN
Structure: PBEsol geometry

a b c (Å): 2.963 7.857 7.857
angles (deg): 90.00 90.00 90.00
Atoms (fractional coordinates):
Pt (0.000, 0.837, 0.663)
Mg (0.500, 0.632, 0.868)
Mg (0.500, 0.368, 0.132)
Pt (0.000, 0.163, 0.337)
Pt (0.000, 0.337, 0.837)
Ca (0.000, 0.000, 0.000)
Ca (0.000, 0.500, 0.500)
Mg (0.500, 0.132, 0.632)
Mg (0.500, 0.868, 0.368)
Pt (0.000, 0.663, 0.163)

Output
**Density of states at the Fermi level**: 2.9 states/eV per cell

Most stable = P

P.
Compound: CaMg2Sb2
Source: Alexandria
Functional: SCAN
Structure: PBEsol geometry

a b c (Å): 3.701 8.363 8.363
angles (deg): 90.00 90.00 90.00
Atoms (fractional coordinates):
Mg (0.500, 0.634, 0.866)
Mg (0.500, 0.366, 0.134)
Sb (0.000, 0.663, 0.163)
Mg (0.500, 0.866, 0.366)
Sb (0.000, 0.163, 0.337)
Mg (0.500, 0.134, 0.634)
Sb (0.000, 0.337, 0.837)
Ca (0.000, 0.500, 0.500)
Sb (0.000, 0.837, 0.663)
Ca (0.000, 0.000, 0.000)

Output
**Density of states at the Fermi level**: 4.0 states/eV per cell

Q.
Compound: CaMg2Sb2
Source: Alexandria
Functional: SCAN
Structure: PBEsol geometry

a b c (Å): 4.643 4.643 7.465
angles (deg): 90.00 90.00 120.00
Atoms (fractional coordinates):
Mg (0.333, 0.667, 0.632)
Sb (0.333, 0.667, 0.241)
Mg (0.667, 0.333, 0.368)
Sb (0.667, 0.333, 0.759)
Ca (0.000, 0.000, 0.000)

Most stable = Q